Material: TbPr2Co
Method: DFT, PBE
State: optimized geometry

Values from the calculation:
E = -5.394 eV/atom
E_form = -0.0701 eV per atom
ΔE to the lowest computed polymorph = 0.00 kcal/mol of atoms

Lattice parameters (Å, degrees): 7.106 9.986 6.328 90.00 90.00 90.00
Space group Pnma (No. 62)
Asymmetric unit:
Tb: 0.045 0.250 0.157 [4 per cell]
Pr: 0.174 0.071 0.676 [8 per cell]
Co: 0.118 0.750 0.451 [4 per cell]

Material: TbPr2Co2
Method: DFT, PBE
State: optimized geometry

Values from the calculation:
E = -5.664 eV/atom
E_form = 0.0166 eV per atom
ΔE to the lowest computed polymorph = 1.27 kcal/mol of atoms

Lattice parameters (Å, degrees): 12.012 5.462 4.192 90.00 110.33 90.00
Space group C2/m (No. 12)
Asymmetric unit:
Tb: 0.000 0.000 0.000 [2 per cell]
Pr: 0.176 0.500 0.676 [4 per cell]
Co: 0.142 0.000 0.642 [4 per cell]

Material: Tb2PrCo
Method: DFT, PBE
State: optimized geometry

Values from the calculation:
E = -5.379 eV/atom
E_form = -0.0921 eV per atom
ΔE to the lowest computed polymorph = 0.51 kcal/mol of atoms

Lattice parameters (Å, degrees): 3.686 12.236 9.597 90.00 90.00 90.00
Space group Cmcm (No. 63)
Asymmetric unit:
Tb: 0.000 0.142 0.074 [8 per cell]
Pr: 0.000 0.416 0.250 [4 per cell]
Co: 0.000 0.259 0.750 [4 per cell]

Material: TbPr4Co4
Method: DFT, PBE
State: optimized geometry

Values from the calculation:
E = -5.753 eV/atom
E_form = 0.0441 eV per atom

Lattice parameters (Å, degrees): 8.579 8.579 5.851 90.00 90.00 90.00
Space group P4_2/n (No. 86, origin choice 2)
Asymmetric unit:
Tb: 0.250 0.250 0.250 [2 per cell]
Pr: 0.054 0.677 0.129 [8 per cell]
Co: 0.010 0.613 0.603 [8 per cell]

Material: Tb2PrCo2
Method: DFT, PBE
State: optimized geometry

Values from the calculation:
E = -5.757 eV/atom
E_form = -0.1062 eV per atom
ΔE to the lowest computed polymorph = 0.00 kcal/mol of atoms

Lattice parameters (Å, degrees): 3.940 14.881 4.036 90.00 90.00 90.00
Space group Cmmm (No. 65)
Asymmetric unit:
Tb: 0.000 0.152 0.000 [4 per cell]
Pr: 0.000 0.500 0.500 [2 per cell]
Co: 0.000 0.289 0.500 [4 per cell]

Material: Tb2Pr3Co2
Method: DFT, PBE
State: optimized geometry

Values from the calculation:
E = -5.467 eV/atom
E_form = -0.0658 eV per atom

Lattice parameters (Å, degrees): 12.208 3.808 9.005 90.00 115.11 90.00
Space group C2/m (No. 12)
Asymmetric unit:
Tb: 0.177 0.000 0.310 [4 per cell]
Pr: 0.000 0.500 0.500 [2 per cell]
Pr: 0.114 0.500 0.924 [4 per cell]
Co: 0.185 0.000 0.744 [4 per cell]

Material: Tb2PrCo
Method: DFT, PBE
State: optimized geometry

Values from the calculation:
E = -5.339 eV/atom
E_form = -0.0524 eV per atom
ΔE to the lowest computed polymorph = 1.43 kcal/mol of atoms

Lattice parameters (Å, degrees): 3.436 3.436 9.041 90.00 90.00 90.00
Space group P4/mmm (No. 123)
Asymmetric unit:
Tb: 0.000 0.000 0.178 [2 per cell]
Pr: 0.500 0.500 0.500 [1 per cell]
Co: 0.500 0.500 0.000 [1 per cell]

Material: Tb3PrCo
Method: DFT, PBE
State: optimized geometry

Values from the calculation:
E = -5.166 eV/atom
E_form = -0.0110 eV per atom
ΔE to the lowest computed polymorph = 1.70 kcal/mol of atoms

Lattice parameters (Å, degrees): 5.332 5.332 5.332 90.00 90.00 90.00
Space group Pm-3m (No. 221)
Asymmetric unit:
Tb: 0.000 0.000 0.500 [3 per cell]
Pr: 0.500 0.500 0.500 [1 per cell]
Co: 0.000 0.000 0.000 [1 per cell]

Material: Tb2PrCo
Method: DFT, PBE
State: optimized geometry

Values from the calculation:
E = -5.401 eV/atom
E_form = -0.1143 eV per atom
ΔE to the lowest computed polymorph = 0.00 kcal/mol of atoms

Lattice parameters (Å, degrees): 7.010 9.592 6.405 90.00 90.00 90.00
Space group Pnma (No. 62)
Asymmetric unit:
Tb: 0.170 0.070 0.176 [8 per cell]
Pr: 0.045 0.250 0.640 [4 per cell]
Co: 0.114 0.750 0.935 [4 per cell]

Material: Tb3PrCo
Method: DFT, PBE
State: optimized geometry

Values from the calculation:
E = -5.206 eV/atom
E_form = -0.0504 eV per atom
ΔE to the lowest computed polymorph = 0.79 kcal/mol of atoms

Lattice parameters (Å, degrees): 9.447 6.498 9.797 90.00 100.65 90.00
Space group P2_1/c (No. 14)
Asymmetric unit:
Tb: 0.056 0.088 0.177 [4 per cell]
Tb: 0.193 0.581 0.075 [4 per cell]
Tb: 0.321 0.085 0.947 [4 per cell]
Pr: 0.433 0.575 0.818 [4 per cell]
Co: 0.072 0.236 0.431 [4 per cell]

Material: Tb4PrCo4
Method: DFT, PBE
State: optimized geometry

Values from the calculation:
E = -5.773 eV/atom
E_form = -0.0254 eV per atom

Lattice parameters (Å, degrees): 8.533 8.533 5.585 90.00 90.00 90.00
Space group P4_2/n (No. 86, origin choice 2)
Asymmetric unit:
Tb: 0.065 0.672 0.135 [8 per cell]
Pr: 0.250 0.250 0.250 [2 per cell]
Co: 0.018 0.609 0.618 [8 per cell]

Material: TbPrCo3
Method: DFT, PBE
State: optimized geometry

Values from the calculation:
E = -6.258 eV/atom
E_form = -0.1125 eV per atom

Lattice parameters (Å, degrees): 4.219 23.356 3.932 90.00 90.00 90.00
Space group Cmcm (No. 63)
Asymmetric unit:
Tb: 0.000 0.206 0.250 [4 per cell]
Pr: 0.000 0.071 0.750 [4 per cell]
Co: 0.000 0.330 0.250 [4 per cell]
Co: 0.000 0.377 0.750 [4 per cell]
Co: 0.000 0.476 0.750 [4 per cell]